# Mo3WC (PBE-GGA, relaxed)
# ΔE to the lowest computed polymorph   0 meV per atom
# Energy of formation   0.981 eV per formula unit
# Magnetic moment   0.0 μB/f.u.
data_Mo3WC
_symmetry_space_group_name_H-M 'P m -3 m'
_symmetry_Int_Tables_number 221
_symmetry_space_group_name_Hall '-P 4 2 3'
_cell_length_a 4.155
_cell_length_b 4.155
_cell_length_c 4.155
_cell_angle_alpha 90.00
_cell_angle_beta 90.00
_cell_angle_gamma 90.00
loop_
_atom_site_label
_atom_site_type_symbol
_atom_site_fract_x
_atom_site_fract_y
_atom_site_fract_z
_atom_site_occupancy
Mo1 Mo 0.000 0.000 0.500 1
W1 W 0.500 0.500 0.500 1
C1 C 0.000 0.000 0.000 1


# Mo2WC (PBE-GGA, relaxed)
# Energy of formation   5.206 eV per formula unit
# Magnetic moment   0.0 μB/f.u.
data_Mo2WC
_symmetry_space_group_name_H-M 'F -4 3 m'
_symmetry_Int_Tables_number 216
_symmetry_space_group_name_Hall 'F -4 2 3'
_cell_length_a 6.045
_cell_length_b 6.045
_cell_length_c 6.045
_cell_angle_alpha 90.00
_cell_angle_beta 90.00
_cell_angle_gamma 90.00
loop_
_atom_site_label
_atom_site_type_symbol
_atom_site_fract_x
_atom_site_fract_y
_atom_site_fract_z
_atom_site_occupancy
Mo1 Mo 0.000 0.000 0.000 1
Mo2 Mo 0.250 0.250 0.250 1
W1 W 0.250 0.250 0.750 1
C1 C 0.000 0.000 0.500 1


# MoW2C (PBE-GGA, relaxed)
# Energy of formation   1.932 eV per formula unit
# Magnetic moment   0.0 μB/f.u.
data_MoW2C
_symmetry_space_group_name_H-M 'I m m 2'
_symmetry_Int_Tables_number 44
_symmetry_space_group_name_Hall 'I 2 -2'
_cell_length_a 2.984
_cell_length_b 4.809
_cell_length_c 7.732
_cell_angle_alpha 90.00
_cell_angle_beta 90.00
_cell_angle_gamma 90.00
loop_
_atom_site_label
_atom_site_type_symbol
_atom_site_fract_x
_atom_site_fract_y
_atom_site_fract_z
_atom_site_occupancy
Mo1 Mo 0.000 0.000 0.000 1
W1 W 0.000 0.000 0.614 1
W2 W 0.000 0.500 0.808 1
C1 C 0.000 0.500 0.306 1


# ZnMoWC2 (PBE-GGA, relaxed)
# Energy of formation   9.331 eV per formula unit
# Magnetic moment   0.0 μB/f.u.
data_ZnMoWC2
_symmetry_space_group_name_H-M 'P 4/m m m'
_symmetry_Int_Tables_number 123
_symmetry_space_group_name_Hall '-P 4 2'
_cell_length_a 4.035
_cell_length_b 4.035
_cell_length_c 5.146
_cell_angle_alpha 90.00
_cell_angle_beta 90.00
_cell_angle_gamma 90.00
loop_
_atom_site_label
_atom_site_type_symbol
_atom_site_fract_x
_atom_site_fract_y
_atom_site_fract_z
_atom_site_occupancy
Zn1 Zn 0.000 0.000 0.000 1
Mo1 Mo 0.500 0.500 0.000 1
W1 W 0.500 0.500 0.500 1
C1 C 0.000 0.500 0.500 1


# YMoC3 (PBE-GGA, relaxed)
# ΔE to the lowest computed polymorph   2111 meV per atom
# Energy of formation   14.665 eV per formula unit
# Magnetic moment   2.4 μB/f.u.
data_YMoC3
_symmetry_space_group_name_H-M 'P m -3 m'
_symmetry_Int_Tables_number 221
_symmetry_space_group_name_Hall '-P 4 2 3'
_cell_length_a 4.301
_cell_length_b 4.301
_cell_length_c 4.301
_cell_angle_alpha 90.00
_cell_angle_beta 90.00
_cell_angle_gamma 90.00
loop_
_atom_site_label
_atom_site_type_symbol
_atom_site_fract_x
_atom_site_fract_y
_atom_site_fract_z
_atom_site_occupancy
Y1 Y 0.000 0.000 0.000 1
Mo1 Mo 0.500 0.500 0.500 1
C1 C 0.000 0.000 0.500 1


# Y2MoC2 (PBE-GGA, relaxed)
# ΔE to the lowest computed polymorph   432 meV per atom
# Energy of formation   0.580 eV per formula unit
# Magnetic moment   0.0 μB/f.u.
data_Y2MoC2
_symmetry_space_group_name_H-M 'P 4/m b m'
_symmetry_Int_Tables_number 127
_symmetry_space_group_name_Hall '-P 4 2ab'
_cell_length_a 6.439
_cell_length_b 6.439
_cell_length_c 3.604
_cell_angle_alpha 90.00
_cell_angle_beta 90.00
_cell_angle_gamma 90.00
loop_
_atom_site_label
_atom_site_type_symbol
_atom_site_fract_x
_atom_site_fract_y
_atom_site_fract_z
_atom_site_occupancy
Y1 Y 0.154 0.346 0.000 1
Mo1 Mo 0.000 0.000 0.500 1
C1 C 0.171 0.671 0.500 1


Please write out number 6 again, unchanged.
# Y2MoC2 (PBE-GGA, relaxed)
# ΔE to the lowest computed polymorph   432 meV per atom
# Energy of formation   0.580 eV per formula unit
# Magnetic moment   0.0 μB/f.u.
data_Y2MoC2
_symmetry_space_group_name_H-M 'P 4/m b m'
_symmetry_Int_Tables_number 127
_symmetry_space_group_name_Hall '-P 4 2ab'
_cell_length_a 6.439
_cell_length_b 6.439
_cell_length_c 3.604
_cell_angle_alpha 90.00
_cell_angle_beta 90.00
_cell_angle_gamma 90.00
loop_
_atom_site_label
_atom_site_type_symbol
_atom_site_fract_x
_atom_site_fract_y
_atom_site_fract_z
_atom_site_occupancy
Y1 Y 0.154 0.346 0.000 1
Mo1 Mo 0.000 0.000 0.500 1
C1 C 0.171 0.671 0.500 1


Q: Number 3 is which compound?
A: MoW2C


Q: Which value of magnetic moment does entry 6 give?
A: 0.0 μB/f.u.